{"formula": "Na4Nd3MoO8", "functional": "GGA+U", "state": "optimized geometry", "energy_ha_per_atom": -0.23852, "dos_ef_per_ev_cell": 0.00, "lattice": [[-1.812, 6.559, -1.620], [-5.692, -0.610, 3.898], [6.306, -1.314, 2.726]], "species": ["Na", "Na", "Na", "Na", "O", "O", "O", "O", "O", "O", "O", "O", "Mo", "Nd", "Nd", "Nd"], "fractional_positions": [[0.000, 0.000, 0.000], [0.500, 0.000, 0.500], [0.500, 0.000, 0.000], [0.000, 0.000, 0.500], [0.755, 0.715, 0.985], [0.770, 0.285, 0.015], [0.770, 0.285, 0.539], [0.260, 0.281, 0.521], [0.230, 0.715, 0.461], [0.740, 0.719, 0.479], [0.230, 0.715, 0.985], [0.245, 0.285, 0.015], [0.000, 0.500, 0.000], [0.500, 0.500, 0.500], [0.500, 0.500, 0.000], [0.000, 0.500, 0.500]]}